#i
A geometry-optimized SmLu2Zr structure. Source: the Alexandria database, functional PBE.

total magnetization: 0.0 μB per formula unit
space-group type: P4/mmm (123)
Fermi-level density of states: 5.247 states/eV/f.u.

Geometry as POSCAR:
```
SmLu2Zr
1.0
4.837 0.000 0.000
0.000 4.837 0.000
0.000 0.000 4.817
Sm Lu Zr
1 2 1
Direct
0.000 0.000 0.000 Sm
0.000 0.500 0.500 Lu
0.500 0.000 0.500 Lu
0.500 0.500 0.000 Zr
```

=====

#ii
A geometry-optimized SmLu2Zr structure. Source: the Alexandria database, functional PBE.

total magnetization: 0.0 μB per formula unit
space-group type: P4/mmm (123)
Fermi-level density of states: 7.968 states/eV/f.u.

Geometry as POSCAR:
```
SmLu2Zr
1.0
3.943 0.000 0.000
0.000 3.943 0.000
0.000 0.000 7.405
Sm Lu Zr
1 2 1
Direct
0.000 0.000 0.000 Sm
0.500 0.500 0.279 Lu
0.500 0.500 0.721 Lu
0.000 0.000 0.500 Zr
```

=====

#i has the most favorable energy; the next structure is 0.062 eV/atom above.

=====

#i
A geometry-optimized TbLuSn structure. Source: the Alexandria database, functional PBE.

total magnetization: 0.0 μB per formula unit
space-group type: I4mm (107)
Fermi-level density of states: 2.540 states/eV/f.u.

Geometry as POSCAR:
```
TbLuSn
1.0
-1.762 1.762 6.749
1.762 -1.762 6.749
1.762 1.762 -6.749
Tb Lu Sn
1 1 1
Direct
0.000 0.000 0.000 Tb
0.687 0.687 0.000 Lu
0.340 0.340 0.000 Sn
```

=====

#ii
A geometry-optimized TbLuSn structure. Source: the Alexandria database, functional PBE.

total magnetization: 0.0 μB per formula unit
space-group type: P3m1 (156)
Fermi-level density of states: 2.164 states/eV/f.u.

Geometry as POSCAR:
```
TbLuSn
1.0
5.068 0.000 0.000
-2.534 4.389 0.000
0.000 0.000 3.814
Tb Lu Sn
1 1 1
Direct
0.000 0.000 0.000 Tb
0.333 0.667 0.549 Lu
0.667 0.333 0.342 Sn
```

=====

#i has the most favorable energy; the next structure is 0.076 eV/atom above.

=====

#i
A geometry-optimized TbLu2Sn structure. Source: the Alexandria database, functional PBE.

total magnetization: 0.0 μB per formula unit
space-group type: P4/mmm (123)
Fermi-level density of states: 5.329 states/eV/f.u.

Geometry as POSCAR:
```
TbLu2Sn
1.0
3.652 0.000 0.000
0.000 3.652 0.000
0.000 0.000 8.533
Tb Lu Sn
1 2 1
Direct
0.000 0.000 0.000 Tb
0.500 0.500 0.277 Lu
0.500 0.500 0.723 Lu
0.000 0.000 0.500 Sn
```

=====

#ii
A geometry-optimized TbLu2Sn structure. Source: the Alexandria database, functional PBE.

total magnetization: 0.0 μB per formula unit
space-group type: R-3m (166)
Fermi-level density of states: 6.692 states/eV/f.u.

Geometry as POSCAR:
```
TbLu2Sn
1.0
1.714 0.990 11.648
-1.714 0.990 11.648
0.000 -1.979 11.648
Tb Lu Sn
1 2 1
Direct
0.000 0.000 0.000 Tb
0.095 0.095 0.095 Lu
0.905 0.905 0.905 Lu
0.500 0.500 0.500 Sn
```

=====

#i has the most favorable energy; the next structure is 0.324 eV/atom above.

=====

#i
A geometry-optimized LuTcSn2 structure. Source: the Alexandria database, functional PBE.

total magnetization: 0.0 μB per formula unit
space-group type: R-3m (166)
Fermi-level density of states: 1.924 states/eV/f.u.

Geometry as POSCAR:
```
LuTcSn2
1.0
2.290 1.322 4.731
-2.290 1.322 4.731
0.000 -2.644 4.731
Lu Tc Sn
1 1 2
Direct
0.000 0.000 0.000 Lu
0.500 0.500 0.500 Tc
0.231 0.231 0.231 Sn
0.769 0.769 0.769 Sn
```

=====

#ii
A geometry-optimized LuTcSn2 structure. Source: the Alexandria database, functional PBE.

total magnetization: 0.0 μB per formula unit
space-group type: Fm-3m (225)
Fermi-level density of states: 1.840 states/eV/f.u.

Geometry as POSCAR:
```
LuTcSn2
1.0
0.000 3.446 3.446
3.446 0.000 3.446
3.446 3.446 0.000
Lu Tc Sn
1 1 2
Direct
0.000 0.000 0.000 Lu
0.500 0.500 0.500 Tc
0.250 0.250 0.250 Sn
0.750 0.750 0.750 Sn
```

=====

#i has the most favorable energy; the next structure is 0.023 eV/atom above.

=====

#i
A geometry-optimized Lu2ThSn structure. Source: the Alexandria database, functional PBE.

total magnetization: 0.0 μB per formula unit
space-group type: P4/mmm (123)
Fermi-level density of states: 4.626 states/eV/f.u.

Geometry as POSCAR:
```
Lu2ThSn
1.0
4.844 0.000 0.000
0.000 4.844 0.000
0.000 0.000 4.708
Lu Th Sn
2 1 1
Direct
0.000 0.500 0.000 Lu
0.500 0.000 0.000 Lu
0.000 0.000 0.500 Th
0.500 0.500 0.500 Sn
```

=====

#ii
A geometry-optimized Lu2ThSn structure. Source: the Alexandria database, functional PBE.

total magnetization: 0.0 μB per formula unit
space-group type: P4/mmm (123)
Fermi-level density of states: 5.421 states/eV/f.u.

Geometry as POSCAR:
```
Lu2ThSn
1.0
3.796 0.000 0.000
0.000 3.796 0.000
0.000 0.000 7.776
Lu Th Sn
2 1 1
Direct
0.000 0.000 0.221 Lu
0.000 0.000 0.779 Lu
0.500 0.500 0.500 Th
0.500 0.500 0.000 Sn
```

=====

#i has the most favorable energy; the next structure is 0.055 eV/atom above.

=====

#i
A geometry-optimized LuThSn2 structure. Source: the Alexandria database, functional PBE.

total magnetization: 0.0 μB per formula unit
space-group type: P4/mmm (123)
Fermi-level density of states: 3.171 states/eV/f.u.

Geometry as POSCAR:
```
LuThSn2
1.0
3.497 0.000 0.000
0.000 3.497 0.000
0.000 0.000 8.817
Lu Th Sn
1 1 2
Direct
0.000 0.000 0.000 Lu
0.000 0.000 0.500 Th
0.500 0.500 0.237 Sn
0.500 0.500 0.763 Sn
```

=====

#ii
A geometry-optimized LuThSn2 structure. Source: the Alexandria database, functional PBE.

total magnetization: 0.0 μB per formula unit
space-group type: R-3m (166)
Fermi-level density of states: 2.923 states/eV/f.u.

Geometry as POSCAR:
```
LuThSn2
1.0
1.786 1.031 10.097
-1.786 1.031 10.097
0.000 -2.063 10.097
Lu Th Sn
1 1 2
Direct
0.000 0.000 0.000 Lu
0.500 0.500 0.500 Th
0.254 0.254 0.254 Sn
0.746 0.746 0.746 Sn
```

=====

#iii
A geometry-optimized LuThSn2 structure. Source: the Alexandria database, functional PBE.

total magnetization: 0.0 μB per formula unit
space-group type: P4/mmm (123)
Fermi-level density of states: 3.958 states/eV/f.u.

Geometry as POSCAR:
```
LuThSn2
1.0
4.932 0.000 0.000
0.000 4.932 0.000
0.000 0.000 4.466
Lu Th Sn
1 1 2
Direct
0.000 0.000 0.000 Lu
0.500 0.500 0.000 Th
0.000 0.500 0.500 Sn
0.500 0.000 0.500 Sn
```

=====

#iv
A geometry-optimized LuThSn2 structure. Source: the Alexandria database, functional PBE.

total magnetization: 0.0 μB per formula unit
space-group type: Fm-3m (225)
Fermi-level density of states: 6.383 states/eV/f.u.

Geometry as POSCAR:
```
LuThSn2
1.0
0.000 3.807 3.807
3.807 0.000 3.807
3.807 3.807 0.000
Lu Th Sn
1 1 2
Direct
0.000 0.000 0.000 Lu
0.500 0.500 0.500 Th
0.250 0.250 0.250 Sn
0.750 0.750 0.750 Sn
```

=====

#iii has the most favorable energy; the next structure is 0.021 eV/atom above.